## i
A plane-wave DFT calculation with PBE was carried out for an optimized crystal structure of Nd3NiSn.

abc: 5.3319 5.3319 5.3319
angles: 90.00 90.00 90.00
With the nearest neighbours (Å) after each atom.
Element x y z (fractional)
Nd (0.0000, 0.0000, 0.5000)  2 Ni 2.67
Nd (0.0000, 0.5000, 0.0000)  2 Ni 2.67
Nd (0.5000, 0.0000, 0.0000)  2 Ni 2.67
Ni (0.0000, 0.0000, 0.0000)  6 Nd 2.67
Sn (0.5000, 0.5000, 0.5000)  12 Nd 3.77


## ii
A plane-wave DFT calculation with PBE was carried out for an optimized crystal structure of Nd3NiSn.

abc: 8.6020 8.6020 8.8723
angles: 92.03 92.03 25.83
With the nearest neighbours (Å) after each atom.
Element x y z (fractional)
Nd (0.0423, 0.0423, 0.2018)  4 Sn 3.38-3.40, 1 Ni 3.51, 2 Nd 3.72
Nd (0.2556, 0.2556, 0.7894)  3 Ni 2.89-3.13
Nd (0.3944, 0.3944, 0.4553)  3 Ni 2.80-3.05
Nd (0.6056, 0.6056, 0.5447)  3 Ni 2.80-3.05
Nd (0.7444, 0.7444, 0.2106)  3 Ni 2.89-3.13
Nd (0.9577, 0.9577, 0.7982)  4 Sn 3.38-3.40, 1 Ni 3.51, 2 Nd 3.72
Ni (0.2126, 0.2126, 0.4436)  2 Ni 2.49
Ni (0.7874, 0.7874, 0.5564)  2 Ni 2.49
Sn (0.3866, 0.3866, 0.0757)  8 Nd 3.30-3.40
Sn (0.6134, 0.6134, 0.9243)  8 Nd 3.30-3.40


It is i that is the least stable of them.


## i
A plane-wave DFT calculation with PBE was carried out for an optimized crystal structure of Nd2NiSn6.

abc: 4.4716 11.9913 11.9913
angles: 21.47 90.00 90.00
With the nearest neighbours (Å) after each atom.
Element x y z (fractional)
Nd (0.0000, 0.0000, 0.0000)  10 Sn 3.26-3.48
Nd (0.0000, 0.3394, 0.3394)  10 Sn 3.35-3.74, 4 Ni 3.44
Ni (0.5000, 0.7813, 0.7813)  5 Sn 2.48-2.57
Sn (0.0000, 0.6042, 0.6042)  5 Sn 2.90-3.16
Sn (0.0000, 0.7274, 0.7274)  2 Ni 2.57
Sn (0.5000, 0.1039, 0.1039)  5 Sn 2.91-3.16
Sn (0.5000, 0.2275, 0.2275)  2 Ni 2.57
Sn (0.5000, 0.4669, 0.4669)  2 Sn 2.93, 4 Nd 3.26
Sn (0.5000, 0.8866, 0.8866)  1 Ni 2.48


## ii
A plane-wave DFT calculation with PBE was carried out for an optimized crystal structure of Nd2NiSn6.

abc: 8.5010 8.5010 4.2509
angles: 90.00 90.00 126.19
With the nearest neighbours (Å) after each atom.
Element x y z (fractional)
Nd (0.1844, 0.8156, 0.0000)  10 Sn 3.25-3.58
Nd (0.8156, 0.1844, 0.0000)  10 Sn 3.25-3.58
Ni (0.5000, 0.5000, 0.5000)  8 Sn 2.71
Sn (0.1612, 0.4633, 0.5000)  1 Ni 2.71, 1 Sn 2.89
Sn (0.2813, 0.2813, 0.0000)  2 Ni 2.71
Sn (0.4633, 0.1612, 0.5000)  1 Ni 2.71, 1 Sn 2.89
Sn (0.5367, 0.8388, 0.5000)  1 Ni 2.71, 1 Sn 2.89
Sn (0.7187, 0.7187, 0.0000)  2 Ni 2.71
Sn (0.8388, 0.5367, 0.5000)  1 Ni 2.71, 1 Sn 2.89


It is ii that is the least stable of them.


## i
A plane-wave DFT calculation with PBE was carried out for an optimized crystal structure of NdTaNi2.

abc: 3.1964 3.1964 6.9628
angles: 90.00 90.00 90.00
With the nearest neighbours (Å) after each atom.
Element x y z (fractional)
Nd (0.0000, 0.0000, 0.0000)  8 Ni 3.15, 4 Nd 3.20, 2 Ta 3.48
Ta (0.0000, 0.0000, 0.5000)  8 Ni 2.60
Ni (0.5000, 0.5000, 0.3157)  1 Ni 2.57, 4 Ta 2.60
Ni (0.5000, 0.5000, 0.6843)  1 Ni 2.57, 4 Ta 2.60


## ii
A plane-wave DFT calculation with PBE was carried out for an optimized crystal structure of NdTaNi2.

abc: 5.5473 5.5473 5.5473
angles: 45.18 45.18 45.18
With the nearest neighbours (Å) after each atom.
Element x y z (fractional)
Nd (0.0000, 0.0000, 0.0000)  8 Ni 2.95-3.18
Ta (0.5000, 0.5000, 0.5000)  6 Ni 2.50
Ni (0.1979, 0.1979, 0.1979)  3 Ta 2.50, 3 Ni 2.63
Ni (0.8021, 0.8021, 0.8021)  3 Ta 2.50, 3 Ni 2.63


It is i that is the least stable of them.


## i
A plane-wave DFT calculation with PBE was carried out for an optimized crystal structure of TbNdNi2.

abc: 6.8831 6.8831 6.8831
angles: 33.73 33.73 33.73
With the nearest neighbours (Å) after each atom.
Element x y z (fractional)
Tb (0.0000, 0.0000, 0.0000)  6 Ni 2.78
Nd (0.5000, 0.5000, 0.5000)  6 Ni 2.86
Ni (0.2534, 0.2534, 0.2534)  3 Tb 2.78, 3 Nd 2.86
Ni (0.7466, 0.7466, 0.7466)  3 Tb 2.78, 3 Nd 2.86


## ii
A plane-wave DFT calculation with PBE was carried out for an optimized crystal structure of TbNdNi2.

abc: 4.8710 4.8710 4.8710
angles: 60.00 60.00 60.00
With the nearest neighbours (Å) after each atom.
Element x y z (fractional)
Tb (0.0000, 0.0000, 0.0000)  8 Ni 2.98
Nd (0.5000, 0.5000, 0.5000)  8 Ni 2.98
Ni (0.2500, 0.2500, 0.2500)  4 Nd 2.98, 4 Tb 2.98
Ni (0.7500, 0.7500, 0.7500)  4 Nd 2.98, 4 Tb 2.98


## iii
A plane-wave DFT calculation with PBE was carried out for an optimized crystal structure of TbNdNi2.

abc: 3.8018 4.2771 5.5226
angles: 90.00 110.06 90.00
With the nearest neighbours (Å) after each atom.
Element x y z (fractional)
Tb (0.0000, 0.0000, 0.0000)  7 Ni 2.86-3.06
Nd (0.2763, 0.5000, 0.5534)  7 Ni 2.92-2.97
Ni (0.5626, 0.5000, 0.1251)  2 Ni 2.60
Ni (0.7049, 0.0000, 0.4109)  2 Ni 2.60, 2 Tb 2.86


It is i that is the least stable of them.